A plane-wave DFT calculation with PBE-GGA was carried out for crystalline Dy6Y2Ho3 at its relaxed geometry.

Computed properties:
formation energy from the elements	3.21	eV/f.u.

extended XYZ file:
```
11
Lattice="-2.3499 2.3499 16.6356 2.3499 -2.3499 16.6356 2.3499 2.3499 -16.6356" Properties=species:S:1:pos:R:3 pbc="T T T"
Dy 2.3499 0.0000 4.0649
Dy 0.0000 0.0000 6.5626
Dy 2.3499 0.0000 12.5707
Dy 0.0000 2.3499 4.0649
Dy 0.0000 0.0000 26.7085
Dy 0.0000 2.3499 12.5707
Y 0.0000 0.0000 1.5345
Y 0.0000 0.0000 31.7367
Ho 0.0000 0.0000 9.9827
Ho 0.0000 0.0000 16.6356
Ho 0.0000 0.0000 23.2885
```